Entry 1:
The following is a PBE calculation of a relaxed UTaNb2 crystal, from Alexandria.

Cell lengths 4.7557, 4.7557, 4.7557 Å; angles 60.00, 60.00, 60.00 degrees
With the nearest neighbours (Å) after each atom.
Sites, in units of the cell vectors:
Nb (0.2500, 0.2500, 0.2500)  4 Ta 2.91, 4 U 2.91
Nb (0.7500, 0.7500, 0.7500)  4 U 2.91, 4 Ta 2.91
U (0.5000, 0.5000, 0.5000)  8 Nb 2.91
Ta (0.0000, 0.0000, 0.0000)  8 Nb 2.91

## Properties
The space group is Fm-3m (225). Its density of states at the Fermi level is 0.998 states/eV per atom. The value obtained for the offset from the most stable computed form is 0.0 meV per atom.

=====

Entry 2:
The following is a PBE calculation of a relaxed Sr2NpAgSe5 crystal, from Alexandria.

Cell lengths 4.2323, 9.3061, 13.0125 Å; angles 90.00, 90.00, 103.14 degrees
With the nearest neighbours (Å) after each atom.
Sites, in units of the cell vectors:
Sr (0.8808, 0.7616, 0.8178)  7 Se 3.07-3.39
Sr (0.1063, 0.2126, 0.6849)  5 Se 3.07-3.26
Sr (0.1192, 0.2384, 0.3178)  7 Se 3.07-3.39
Sr (0.8937, 0.7874, 0.1849)  5 Se 3.07-3.26
Np (0.7927, 0.5853, 0.5195)  6 Se 2.69-2.84
Np (0.2073, 0.4147, 0.0195)  6 Se 2.69-2.84
Ag (0.5619, 0.1238, 0.9387)  4 Se 2.58-2.71
Ag (0.4381, 0.8762, 0.4387)  4 Se 2.58-2.71
Se (0.3589, 0.7178, 0.0056)  1 Np 2.75
Se (0.7041, 0.4081, 0.8736)  1 Ag 2.71, 2 Np 2.84
Se (0.4966, 0.9933, 0.7627)  1 Ag 2.58
Se (0.2857, 0.5714, 0.6634)  2 Np 2.83
Se (0.9383, 0.8766, 0.5578)  2 Ag 2.62, 1 Np 2.69
Se (0.6411, 0.2822, 0.5056)  1 Np 2.75
Se (0.2959, 0.5919, 0.3736)  1 Ag 2.71, 2 Np 2.84
Se (0.5034, 0.0067, 0.2627)  1 Ag 2.58
Se (0.7143, 0.4286, 0.1634)  2 Np 2.83
Se (0.0617, 0.1234, 0.0578)  2 Ag 2.62, 1 Np 2.69

## Properties
The space group is Cmc2_1 (36). Its density of states at the Fermi level is 0.648 states/eV per atom. The uncorrected formation energy comes out at -1274 meV per atom.

=====

Entry 3:
The following is a PBE calculation of a relaxed PuPa2Ga3 crystal, from Alexandria.

Cell lengths 3.8953, 3.8953, 8.7473 Å; angles 90.00, 90.00, 90.00 degrees
With the nearest neighbours (Å) after each atom.
Sites, in units of the cell vectors:
Pu (0.5000, 0.5000, 0.5000)  2 Pa 2.90, 8 Ga 3.10
Pa (0.5000, 0.5000, 0.8313)  1 Pu 2.90, 1 Pa 2.95, 8 Ga 3.12-3.13
Pa (0.5000, 0.5000, 0.1687)  1 Pu 2.90, 1 Pa 2.95, 8 Ga 3.12-3.13
Ga (0.0000, 0.0000, 0.0000)  2 Ga 2.95, 8 Pa 3.12
Ga (0.0000, 0.0000, 0.6626)  2 Ga 2.84-2.95, 4 Pu 3.10, 4 Pa 3.13
Ga (0.0000, 0.0000, 0.3374)  2 Ga 2.84-2.95, 4 Pu 3.10, 4 Pa 3.13

## Properties
The space group is P4/mmm (123). Its density of states at the Fermi level is 2.003 states/eV per atom. The calculation puts the uncorrected energy at -43.7 eV/cell.

=====

Entry 4:
The following is a PBE calculation of a relaxed LaCr2Cd2 crystal, from Alexandria.

Cell lengths 3.2527, 3.2527, 10.1493 Å; angles 80.78, 80.78, 90.00 degrees
With the nearest neighbours (Å) after each atom.
Sites, in units of the cell vectors:
Cr (0.7500, 0.2500, 0.5000)  4 Cr 2.30
Cr (0.2500, 0.7500, 0.5000)  4 Cr 2.30
Cd (0.3710, 0.3710, 0.2580)  4 Cr 2.89
Cd (0.6290, 0.6290, 0.7420)  4 Cr 2.89
La (0.0000, 0.0000, 0.0000)  4 La 3.25, 8 Cd 3.43

## Properties
The space group is I4/mmm (139). Its density of states at the Fermi level is 1.130 states/eV per atom. The value obtained for the offset from the most stable computed form is 100.6 meV per atom.